(1)
Computed, not measured: a geometry-optimized InTc2Br structure at the PBE level of DFT.

The calculation puts the total energy at -6.136 eV per atom. As for the spin magnetization: 0.0 μB per formula unit. As for the density of states at the Fermi level: 0.54 states/eV/atom. As for the formation energy (no corrections): 0.1495 eV per atom. The excess energy over the best structure of this formula in the dataset is 0 meV/atom.

The structure belongs to space group Pm (No. 6); the cell edges are 3.1196, 3.0704 and 8.2755 Å and the angles 90.00°, 100.67° and 90.00°. The distinct sites, in fractional coordinates, are In at (0.0000, 0.0000, 0.0000), Tc at (0.3838, 0.5000, 0.7650), Tc at (0.7987, 0.0000, 0.5912) and Br at (0.6707, 0.5000, 0.3330).

(2)
Computed, not measured: a geometry-optimized In3TcBr structure at the PBE level of DFT.

The calculation puts the total energy at -2.874 eV per atom. As for the spin magnetization: 3.7 μB per formula unit. As for the density of states at the Fermi level: 0.76 states/eV/atom. As for the formation energy (no corrections): 1.1767 eV per atom. The excess energy over the best structure of this formula in the dataset is 1011 meV/atom.

The structure belongs to space group Pm-3m (No. 221); the cell edges are 5.7207, 5.7207 and 5.7207 Å and the angles 90.00°, 90.00° and 90.00°. The distinct sites, in fractional coordinates, are In at (0.0000, 0.0000, 0.5000), Tc at (0.5000, 0.5000, 0.5000) and Br at (0.0000, 0.0000, 0.0000).